(one)
TaCdSb3 | PBE-GGA | relaxed

The structure belongs to space group Pm-3m (No. 221); the cell edges are 5.362, 5.362 and 5.362 Å and the angles 90.00°, 90.00° and 90.00°. The distinct sites, in fractional coordinates, are Ta at (0.000, 0.000, 0.000), Cd at (0.500, 0.500, 0.500) and Sb at (0.000, 0.500, 0.500).

The calculation puts the density of states at the Fermi level at 5.9 states/eV per cell.

(two)
TaCdSb3 | PBE-GGA | relaxed

The structure belongs to space group Pm-3m (No. 221); the cell edges are 5.379, 5.379 and 5.379 Å and the angles 90.00°, 90.00° and 90.00°. The distinct sites, in fractional coordinates, are Ta at (0.000, 0.000, 0.000), Cd at (0.500, 0.500, 0.500) and Sb at (0.000, 0.000, 0.500).

The calculation puts the density of states at the Fermi level at 3.8 states/eV per cell.

What should be chosen as the least stable of them? Choose (one).

(one)
TbCdSb2 | PBE-GGA | relaxed

The structure belongs to space group R-3m (No. 166, hexagonal axes); the cell edges are 4.4534, 4.4534 and 20.5723 Å and the angles 90.00°, 90.00° and 120.00°. The distinct sites, in fractional coordinates, are Tb at (0.0000, 0.0000, 0.0000), Cd at (0.0000, 0.0000, 0.5000) and Sb at (0.0000, 0.0000, 0.2478).

The calculation puts the density of states at the Fermi level at 7.5 states/eV per cell.

(two)
TbCdSb2 | PBE-GGA | relaxed

The structure belongs to space group P4/nmm (No. 129, origin choice 2); the cell edges are 4.371, 4.371 and 11.011 Å and the angles 90.00°, 90.00° and 90.00°. The distinct sites, in fractional coordinates, are Tb at (0.250, 0.250, 0.219), Cd at (0.250, 0.750, 0.500), Sb at (0.250, 0.250, 0.708) and Sb at (0.250, 0.750, 0.000).

The calculation puts the density of states at the Fermi level at 4.8 states/eV per cell.

(three)
TbCdSb2 | PBE-GGA | relaxed

The structure belongs to space group P4/mmm (No. 123); the cell edges are 4.981, 4.981 and 4.163 Å and the angles 90.00°, 90.00° and 90.00°. The distinct sites, in fractional coordinates, are Tb at (0.000, 0.000, 0.000), Cd at (0.500, 0.500, 0.000) and Sb at (0.000, 0.500, 0.500).

The calculation puts the density of states at the Fermi level at 1.8 states/eV per cell.

What should be chosen as the least stable of them? Choose (one).